[1]
Density functional theory data (PBE-GGA) for LiSbPb2 after structural relaxation.

Results
Its density of states at the Fermi level is 2.1 states/eV per cell. For the final energy, the calculation gives -13.42 eV/cell.

Cell lengths 3.3798, 3.3798, 9.6090 Å; angles 90.00, 90.00, 101.17 degrees
Fractional coordinates of all 4 atoms:
1 Sb 0.5000 0.5000 0.2500
2 Li 0.5000 0.5000 0.7500
3 Pb 0.0000 0.0000 0.5222
4 Pb 0.0000 0.0000 0.9778

[2]
Density functional theory data (PBE-GGA) for YAl5 after structural relaxation.

Results
For the formation energy, the calculation gives -17 kJ per mole of atoms. Its density of states at the Fermi level is 4.9 states/eV per cell.

Cell lengths 5.4639, 5.4639, 5.4639 Å; angles 60.00, 60.00, 60.00 degrees
Fractional coordinates of all 6 atoms:
1 Al 0.2500 0.2500 0.2500
2 Al 0.1271 0.6243 0.6243
3 Al 0.6243 0.6243 0.1271
4 Al 0.6243 0.6243 0.6243
5 Al 0.6243 0.1271 0.6243
6 Y 0.0000 0.0000 0.0000

[3]
Density functional theory data (PBE-GGA) for Ho5SnHg2 after structural relaxation.

Results
For the formation energy, the calculation gives -46 kJ per mole of atoms. Its density of states at the Fermi level is 11.1 states/eV per cell.

Cell lengths 8.2147, 8.2147, 8.7283 Å; angles 118.07, 118.07, 90.00 degrees
Fractional coordinates of all 16 atoms:
1 Ho 0.4941 0.3041 0.2982
2 Ho 0.5000 0.5000 0.0000
3 Ho 0.0059 0.5059 0.7018
4 Ho 0.1959 0.0059 0.7018
5 Ho 0.8041 0.9941 0.2982
6 Ho 0.9941 0.4941 0.2982
7 Ho 0.6959 0.1959 0.7018
8 Ho 0.3041 0.8041 0.2982
9 Ho 0.5059 0.6959 0.7018
10 Ho 0.0000 0.0000 0.0000
11 Sn 0.7500 0.7500 0.5000
12 Sn 0.2500 0.2500 0.5000
13 Hg 0.1384 0.3616 0.0000
14 Hg 0.6384 0.1384 0.0000
15 Hg 0.3616 0.8616 0.0000
16 Hg 0.8616 0.6384 0.0000

[4]
Density functional theory data (PBE-GGA) for HoTm2Zr after structural relaxation.

Results
The offset from the most stable computed form comes out at 3.27 kcal/mol of atoms. For the formation energy, the calculation gives 19 kJ per mole of atoms. Its density of states at the Fermi level is 6.5 states/eV per cell.

Cell lengths 5.4456, 5.4456, 5.4456 Å; angles 60.00, 60.00, 60.00 degrees
Fractional coordinates of all 4 atoms:
1 Tm 0.7500 0.7500 0.7500
2 Tm 0.2500 0.2500 0.2500
3 Ho 0.5000 0.5000 0.5000
4 Zr 0.0000 0.0000 0.0000

[5]
Density functional theory data (PBE-GGA) for ZnFeMo2 after structural relaxation.

Results
For the formation energy, the calculation gives 20 kJ per mole of atoms. Its density of states at the Fermi level is 2.8 states/eV per cell.

Cell lengths 3.2520, 3.2520, 5.4696 Å; angles 90.00, 90.00, 90.00 degrees
Fractional coordinates of all 4 atoms:
1 Mo 0.0000 0.0000 0.9753
2 Mo 0.0000 0.0000 0.5247
3 Zn 0.5000 0.5000 0.2500
4 Fe 0.5000 0.5000 0.7500

[6]
Density functional theory data (PBE-GGA) for KB3Cl after structural relaxation.

Results
The offset from the most stable computed form comes out at 17.57 kcal/mol of atoms. Its density of states at the Fermi level is 0.4 states/eV per cell.

Cell lengths 5.8575, 5.8575, 5.8575 Å; angles 90.00, 90.00, 90.00 degrees
Fractional coordinates of all 5 atoms:
1 Cl 0.5000 0.5000 0.5000
2 B 0.0000 0.0000 0.5000
3 B 0.0000 0.5000 0.0000
4 B 0.5000 0.0000 0.0000
5 K 0.0000 0.0000 0.0000

Number 1 is which compound?
LiSbPb2